Material: HfMnNbAl2
Method: DFT, PBE
State: relaxed

Unit cell a=4.4797 b=4.6268 c=4.4797 alpha=90.00 beta=90.00 gamma=90.00
With the nearest neighbours (Å) after each atom.
Element x y z (fractional)
1 Mn 0.0000 0.0000 0.0000  4 Al 2.24, 2 Hf 2.31
2 Nb 0.5000 0.5000 0.5000  4 Hf 3.17, 8 Al 3.22
3 Al 0.5000 0.0000 0.0000  2 Mn 2.24
4 Al 0.0000 0.0000 0.5000  2 Mn 2.24
5 Hf 0.0000 0.5000 0.0000  2 Mn 2.31

Summary:
- magnetization (μB/f.u.) = 1.30
- V (A^3/atom) = 18.6
- space group = P4/mmm (123)

=====

Material: Hf2MnAlPb
Method: DFT, PBE
State: relaxed

Unit cell a=4.9702 b=4.9809 c=4.9702 alpha=90.00 beta=90.00 gamma=90.00
With the nearest neighbours (Å) after each atom.
Element x y z (fractional)
1 Mn 0.5000 0.5000 0.5000  4 Pb 3.51, 8 Hf 3.52
2 Hf 0.5000 0.0000 0.0000  2 Al 2.49
3 Hf 0.0000 0.0000 0.5000  2 Al 2.49
4 Pb 0.0000 0.5000 0.0000  2 Al 2.49
5 Al 0.0000 0.0000 0.0000  4 Hf 2.49, 2 Pb 2.49

Summary:
- magnetization (μB/f.u.) = 0.16
- V (A^3/atom) = 24.6
- space group = P4/mmm (123)

=====

Material: HfMnAlRe
Method: DFT, PBE
State: relaxed

Unit cell a=4.4657 b=4.4657 c=4.4657 alpha=60.00 beta=60.00 gamma=60.00
With the nearest neighbours (Å) after each atom.
Element x y z (fractional)
1 Re 0.5000 0.5000 0.5000  4 Hf 2.73, 4 Al 2.73
2 Mn 0.0000 0.0000 0.0000  4 Hf 2.73, 4 Al 2.73
3 Al 0.2500 0.2500 0.2500  4 Mn 2.73, 4 Re 2.73
4 Hf 0.7500 0.7500 0.7500  4 Mn 2.73, 4 Re 2.73

Summary:
- magnetization (μB/f.u.) = 2.91
- V (A^3/atom) = 15.7
- space group = F-43m (216)

=====

Material: HfMn2AlW
Method: DFT, PBE
State: relaxed

Unit cell a=4.5816 b=5.0957 c=4.5816 alpha=90.00 beta=90.00 gamma=90.00
With the nearest neighbours (Å) after each atom.
Element x y z (fractional)
1 Hf 0.0000 0.5000 0.0000  2 W 2.55
2 Mn 0.5000 0.0000 0.0000  2 W 2.29
3 Mn 0.0000 0.0000 0.5000  2 W 2.29
4 W 0.0000 0.0000 0.0000  4 Mn 2.29, 2 Hf 2.55
5 Al 0.5000 0.5000 0.5000  4 Hf 3.24, 8 Mn 3.43

Summary:
- magnetization (μB/f.u.) = 4.88
- V (A^3/atom) = 21.4
- space group = P4/mmm (123)

=====

Material: YHf2MnAl
Method: DFT, PBE
State: relaxed

Unit cell a=5.1943 b=4.6427 c=5.1943 alpha=90.00 beta=90.00 gamma=90.00
With the nearest neighbours (Å) after each atom.
Element x y z (fractional)
1 Y 0.0000 0.0000 0.0000  2 Mn 2.32, 4 Hf 2.60
2 Mn 0.0000 0.5000 0.0000  2 Y 2.32
3 Al 0.5000 0.5000 0.5000  8 Hf 3.48, 4 Mn 3.67
4 Hf 0.5000 0.0000 0.0000  2 Y 2.60
5 Hf 0.0000 0.0000 0.5000  2 Y 2.60

Summary:
- magnetization (μB/f.u.) = 2.64
- V (A^3/atom) = 25.1
- space group = P4/mmm (123)

=====

Material: Hf2ZrMnAl
Method: DFT, PBE
State: relaxed

Unit cell a=4.9897 b=5.0131 c=4.9897 alpha=90.00 beta=90.00 gamma=90.00
With the nearest neighbours (Å) after each atom.
Element x y z (fractional)
1 Hf 0.0000 0.0000 0.5000  2 Zr 2.49
2 Hf 0.5000 0.0000 0.0000  2 Zr 2.49
3 Al 0.0000 0.5000 0.0000  2 Zr 2.51
4 Mn 0.5000 0.5000 0.5000  4 Al 3.53, 8 Hf 3.54
5 Zr 0.0000 0.0000 0.0000  4 Hf 2.49, 2 Al 2.51

Summary:
- magnetization (μB/f.u.) = 0.15
- V (A^3/atom) = 25.0
- space group = P4/mmm (123)

=====

Material: HfAlMo
Method: DFT, PBE
State: relaxed

Unit cell a=2.8234 b=4.6469 c=4.6469 alpha=120.00 beta=90.00 gamma=90.00
With the nearest neighbours (Å) after each atom.
Element x y z (fractional)
1 Al 0.7145 0.3333 0.6667  3 Mo 2.80, 2 Al 2.82, 3 Hf 2.94
2 Hf 0.2917 0.6667 0.3333  3 Mo 2.81, 2 Hf 2.82, 6 Al 2.94-3.14
3 Mo 0.9939 0.0000 0.0000  3 Al 2.80, 3 Hf 2.81, 2 Mo 2.82

Summary:
- energy above the most stable polymorph in this dataset (kJ/mol of atoms) = 24.2
- magnetization (μB/f.u.) = 0.00
- V (A^3/atom) = 17.6
- space group = P3m1 (156)

=====

Material: Hf4AlMo
Method: DFT, PBE
State: relaxed

Unit cell a=4.5649 b=4.5656 c=6.6162 alpha=89.96 beta=89.98 gamma=90.00
With the nearest neighbours (Å) after each atom.
Element x y z (fractional)
1 Hf 0.5014 0.9976 0.7352  2 Mo 2.77, 2 Al 2.87
2 Hf 0.5012 0.9970 0.2610  2 Mo 2.77, 2 Al 2.87
3 Hf 0.0011 0.4971 0.2611  2 Mo 2.77, 2 Al 2.87
4 Hf 0.0015 0.4975 0.7352  2 Mo 2.77, 2 Al 2.87
5 Mo 0.0013 0.9973 0.4981  8 Hf 2.77
6 Al 0.5013 0.4973 0.9981  8 Hf 2.87

Summary:
- magnetization (μB/f.u.) = 0.00
- V (A^3/atom) = 23.0
- space group = P4/mmm (123)

=====

| no. | N(E_F) (states/eV per cell) | calculated formation energy (meV/atom) |
| --- | --- | --- |
| 1 | 5.0 | 445 |
| 2 | 4.9 | 1464 |
| 3 | 1.2 | -202 |
| 4 | 6.0 | 1207 |
| 5 | 6.3 | 1625 |
| 6 | 5.6 | 1710 |
| 7 | 3.2 | -88 |
| 8 | 5.2 | 257 |